No. 1
VASP calculation (GGA-PBE) on Ac3CoAu2 after structural relaxation.

Output
N(E_F) = 12.6 states/eV/cell
Total magnetic moment = 0.00 μB/cell
E_tot = -4.832 eV per atom

a = 14.509 Å, b = 13.837 Å, c = 7.721 Å
α = 79.06°, β = 69.45°, γ = 31.50°
Fractional positions:
1 Ac 0.037 0.535 0.191
2 Ac 0.093 0.657 0.657
3 Ac 0.191 0.737 0.037
4 Ac 0.263 0.809 0.465
5 Ac 0.343 0.907 0.907
6 Ac 0.465 0.963 0.263
7 Ac 0.535 0.037 0.737
8 Ac 0.657 0.093 0.093
9 Ac 0.737 0.191 0.535
10 Ac 0.809 0.263 0.963
11 Ac 0.907 0.343 0.343
12 Ac 0.963 0.465 0.809
13 Co 0.041 0.041 0.209
14 Co 0.209 0.209 0.041
15 Co 0.791 0.791 0.959
16 Co 0.959 0.959 0.791
17 Au 0.129 0.129 0.621
18 Au 0.297 0.297 0.453
19 Au 0.379 0.379 0.871
20 Au 0.453 0.453 0.297
21 Au 0.547 0.547 0.703
22 Au 0.621 0.621 0.129
23 Au 0.703 0.703 0.547
24 Au 0.871 0.871 0.379

***

No. 2
VASP calculation (GGA-PBE) on Ac6CoAu after structural relaxation.

Output
N(E_F) = 21.8 states/eV/cell
Total magnetic moment = 0.00 μB/cell
E_tot = -4.406 eV per atom

a = 9.053 Å, b = 9.053 Å, c = 10.946 Å
α = 119.27°, β = 119.27°, γ = 75.62°
Fractional positions:
1 Ac 0.004 0.650 0.334
2 Ac 0.149 0.787 0.786
3 Ac 0.213 0.851 0.214
4 Ac 0.245 0.245 0.118
5 Ac 0.350 0.996 0.666
6 Ac 0.364 0.364 0.553
7 Ac 0.636 0.636 0.447
8 Ac 0.650 0.004 0.334
9 Ac 0.755 0.755 0.882
10 Ac 0.787 0.149 0.786
11 Ac 0.851 0.213 0.214
12 Ac 0.996 0.350 0.666
13 Co 0.000 0.500 0.500
14 Co 0.500 0.000 0.500
15 Au 0.000 0.500 0.000
16 Au 0.500 0.000 0.000

***

No. 3
VASP calculation (GGA-PBE) on Ac5CoAu after structural relaxation.

Output
N(E_F) = 17.2 states/eV/cell
Total magnetic moment = 0.00 μB/cell
E_tot = -4.594 eV per atom

a = 7.518 Å, b = 7.518 Å, c = 9.974 Å
α = 99.38°, β = 99.38°, γ = 106.14°
Fractional positions:
1 Ac 0.043 0.664 0.359
2 Ac 0.110 0.890 0.750
3 Ac 0.244 0.396 0.029
4 Ac 0.336 0.957 0.141
5 Ac 0.396 0.244 0.529
6 Ac 0.604 0.756 0.471
7 Ac 0.664 0.043 0.859
8 Ac 0.756 0.604 0.971
9 Ac 0.890 0.110 0.250
10 Ac 0.957 0.336 0.641
11 Co 0.000 0.000 0.000
12 Co 0.000 0.000 0.500
13 Au 0.391 0.609 0.750
14 Au 0.609 0.391 0.250

***

No. 4
VASP calculation (GGA-PBE) on Ac3CoAu after structural relaxation.

Output
N(E_F) = 17.6 states/eV/cell
Total magnetic moment = 0.00 μB/cell
E_tot = -4.895 eV per atom
Energy above the most stable polymorph in this dataset = 0.0000 eV per atom

a = 9.612 Å, b = 4.274 Å, c = 15.623 Å
α = 90.00°, β = 90.00°, γ = 90.00°
Fractional positions:
1 Ac 0.005 0.250 0.106
2 Ac 0.161 0.750 0.459
3 Ac 0.178 0.250 0.699
4 Ac 0.322 0.750 0.199
5 Ac 0.339 0.250 0.959
6 Ac 0.495 0.750 0.606
7 Ac 0.505 0.250 0.394
8 Ac 0.661 0.750 0.041
9 Ac 0.678 0.250 0.801
10 Ac 0.822 0.750 0.301
11 Ac 0.839 0.250 0.541
12 Ac 0.995 0.750 0.894
13 Co 0.189 0.750 0.042
14 Co 0.311 0.250 0.542
15 Co 0.689 0.750 0.458
16 Co 0.811 0.250 0.958
17 Au 0.109 0.250 0.303
18 Au 0.391 0.750 0.803
19 Au 0.609 0.250 0.197
20 Au 0.891 0.750 0.697

***

No. 5
VASP calculation (GGA-PBE) on Ac2CoAu after structural relaxation.

Output
N(E_F) = 1.4 states/eV/cell
Total magnetic moment = 0.00 μB/cell
E_tot = -4.975 eV per atom

a = 8.019 Å, b = 8.019 Å, c = 8.019 Å
α = 30.59°, β = 30.59°, γ = 30.59°
Fractional positions:
1 Ac 0.000 0.000 0.000
2 Ac 0.192 0.192 0.192
3 Co 0.596 0.596 0.596
4 Au 0.430 0.430 0.430

***

No. 6
VASP calculation (GGA-PBE) on Ac7Co2Au2 after structural relaxation.

Output
N(E_F) = 10.3 states/eV/cell
Total magnetic moment = 0.00 μB/cell
E_tot = -4.762 eV per atom

a = 10.160 Å, b = 10.160 Å, c = 10.160 Å
α = 156.65°, β = 66.33°, γ = 118.90°
Fractional positions:
1 Ac 0.000 0.000 0.000
2 Ac 0.254 0.357 0.897
3 Ac 0.262 0.570 0.691
4 Ac 0.460 0.357 0.103
5 Ac 0.588 0.197 0.390
6 Ac 0.807 0.197 0.610
7 Ac 0.879 0.570 0.309
8 Co 0.193 0.693 0.500
9 Co 0.610 0.610 0.000
10 Au 0.091 0.854 0.237
11 Au 0.617 0.854 0.763

***

No. 7
VASP calculation (GGA-PBE) on AcCoAu after structural relaxation.

Output
N(E_F) = 10.2 states/eV/cell
Total magnetic moment = 3.63 μB/cell
E_tot = -5.154 eV per atom

a = 6.281 Å, b = 5.907 Å, c = 7.991 Å
α = 90.00°, β = 112.28°, γ = 90.00°
Fractional positions:
1 Ac 0.198 0.124 0.377
2 Ac 0.198 0.376 0.877
3 Ac 0.802 0.624 0.123
4 Ac 0.802 0.876 0.623
5 Co 0.164 0.599 0.526
6 Co 0.164 0.901 0.026
7 Co 0.836 0.099 0.974
8 Co 0.836 0.401 0.474
9 Au 0.392 0.609 0.295
10 Au 0.392 0.891 0.795
11 Au 0.608 0.109 0.205
12 Au 0.608 0.391 0.705

***

No. 8
VASP calculation (GGA-PBE) on Ac2CoAu after structural relaxation.

Output
N(E_F) = 2.9 states/eV/cell
Total magnetic moment = 0.89 μB/cell
E_tot = -4.917 eV per atom

a = 3.759 Å, b = 3.759 Å, c = 7.760 Å
α = 90.00°, β = 90.00°, γ = 90.00°
Fractional positions:
1 Ac 0.000 0.000 0.234
2 Ac 0.000 0.000 0.766
3 Co 0.500 0.500 0.000
4 Au 0.500 0.500 0.500

***

No. 9
VASP calculation (GGA-PBE) on Ac19Co6Au4 after structural relaxation.

Output
N(E_F) = 27.3 states/eV/cell
Total magnetic moment = 0.00 μB/cell
E_tot = -4.767 eV per atom

a = 10.807 Å, b = 10.807 Å, c = 10.807 Å
α = 109.47°, β = 109.47°, γ = 109.47°
Fractional positions:
1 Ac 0.000 0.000 0.000
2 Ac 0.000 0.352 0.352
3 Ac 0.000 0.648 0.648
4 Ac 0.009 0.653 0.239
5 Ac 0.230 0.644 0.991
6 Ac 0.239 0.009 0.653
7 Ac 0.347 0.356 0.586
8 Ac 0.352 0.000 0.352
9 Ac 0.352 0.352 0.000
10 Ac 0.356 0.586 0.347
11 Ac 0.414 0.770 0.761
12 Ac 0.586 0.347 0.356
13 Ac 0.644 0.991 0.230
14 Ac 0.648 0.000 0.648
15 Ac 0.648 0.648 0.000
16 Ac 0.653 0.239 0.009
17 Ac 0.761 0.414 0.770
18 Ac 0.770 0.761 0.414
19 Ac 0.991 0.230 0.644
20 Co 0.192 0.500 0.692
21 Co 0.308 0.808 0.500
22 Co 0.500 0.308 0.808
23 Co 0.500 0.692 0.192
24 Co 0.692 0.192 0.500
25 Co 0.808 0.500 0.308
26 Au 0.000 0.000 0.328
27 Au 0.000 0.328 0.000
28 Au 0.328 0.000 0.000
29 Au 0.672 0.672 0.672

***

No. 10
VASP calculation (GGA-PBE) on Ac6CoAu3 after structural relaxation.

Output
N(E_F) = 20.4 states/eV/cell
Total magnetic moment = 0.00 μB/cell
E_tot = -4.636 eV per atom

a = 7.601 Å, b = 8.150 Å, c = 13.040 Å
α = 90.00°, β = 121.00°, γ = 90.00°
Fractional positions:
1 Ac 0.083 0.051 0.242
2 Ac 0.083 0.449 0.742
3 Ac 0.231 0.691 0.080
4 Ac 0.231 0.809 0.580
5 Ac 0.366 0.171 0.064
6 Ac 0.366 0.329 0.564
7 Ac 0.634 0.671 0.436
8 Ac 0.634 0.829 0.936
9 Ac 0.769 0.191 0.420
10 Ac 0.769 0.309 0.920
11 Ac 0.917 0.551 0.258
12 Ac 0.917 0.949 0.758
13 Co 0.000 0.000 0.000
14 Co 0.000 0.500 0.500
15 Au 0.322 0.111 0.769
16 Au 0.322 0.389 0.269
17 Au 0.500 0.000 0.500
18 Au 0.500 0.500 0.000
19 Au 0.678 0.611 0.731
20 Au 0.678 0.889 0.231

***

No. 11
VASP calculation (GGA-PBE) on Ac5Co2Au after structural relaxation.

Output
N(E_F) = 17.8 states/eV/cell
Total magnetic moment = 0.00 μB/cell
E_tot = -4.940 eV per atom

a = 9.287 Å, b = 9.287 Å, c = 9.287 Å
α = 127.85°, β = 127.85°, γ = 76.87°
Fractional positions:
1 Ac 0.000 0.000 0.000
2 Ac 0.029 0.529 0.824
3 Ac 0.205 0.029 0.500
4 Ac 0.295 0.795 0.824
5 Ac 0.471 0.295 0.500
6 Ac 0.500 0.500 0.000
7 Ac 0.529 0.705 0.500
8 Ac 0.705 0.205 0.176
9 Ac 0.795 0.971 0.500
10 Ac 0.971 0.471 0.176
11 Co 0.138 0.362 0.500
12 Co 0.362 0.862 0.223
13 Co 0.638 0.138 0.777
14 Co 0.862 0.638 0.500
15 Au 0.250 0.250 0.000
16 Au 0.750 0.750 0.000

***

No. 12
VASP calculation (GGA-PBE) on Ac5CoAu2 after structural relaxation.

Output
N(E_F) = 16.1 states/eV/cell
Total magnetic moment = 0.00 μB/cell
E_tot = -4.687 eV per atom

a = 10.048 Å, b = 10.048 Å, c = 8.022 Å
α = 96.88°, β = 96.88°, γ = 42.99°
Fractional positions:
1 Ac 0.075 0.925 0.750
2 Ac 0.145 0.285 0.303
3 Ac 0.285 0.145 0.803
4 Ac 0.290 0.510 0.070
5 Ac 0.490 0.710 0.430
6 Ac 0.510 0.290 0.570
7 Ac 0.710 0.490 0.930
8 Ac 0.715 0.855 0.197
9 Ac 0.855 0.715 0.697
10 Ac 0.925 0.075 0.250
11 Co 0.000 0.500 0.000
12 Co 0.500 0.000 0.500
13 Au 0.097 0.696 0.429
14 Au 0.304 0.903 0.071
15 Au 0.696 0.097 0.929
16 Au 0.903 0.304 0.571

***

No. 13
VASP calculation (GGA-PBE) on Ac8Co2Au after structural relaxation.

Output
N(E_F) = 14.4 states/eV/cell
Total magnetic moment = 0.00 μB/cell
E_tot = -4.501 eV per atom

a = 7.467 Å, b = 7.467 Å, c = 9.193 Å
α = 91.19°, β = 91.19°, γ = 61.98°
Fractional positions:
1 Ac 0.084 0.084 0.175
2 Ac 0.104 0.598 0.334
3 Ac 0.348 0.348 0.945
4 Ac 0.402 0.896 0.666
5 Ac 0.598 0.104 0.334
6 Ac 0.652 0.652 0.055
7 Ac 0.896 0.402 0.666
8 Ac 0.916 0.916 0.825
9 Co 0.137 0.137 0.883
10 Co 0.863 0.863 0.117
11 Au 0.000 0.000 0.500

***

No. 14
VASP calculation (GGA-PBE) on Ac8Co4Au after structural relaxation.

Output
N(E_F) = 8.6 states/eV/cell
Total magnetic moment = 0.00 μB/cell
E_tot = -5.089 eV per atom

a = 8.323 Å, b = 8.323 Å, c = 10.255 Å
α = 126.68°, β = 126.68°, γ = 61.57°
Fractional positions:
1 Ac 0.189 0.693 0.667
2 Ac 0.190 0.190 0.164
3 Ac 0.307 0.811 0.333
4 Ac 0.308 0.308 0.834
5 Ac 0.692 0.692 0.166
6 Ac 0.693 0.189 0.667
7 Ac 0.810 0.810 0.836
8 Ac 0.811 0.307 0.333
9 Co 0.250 0.250 0.502
10 Co 0.253 0.747 0.000
11 Co 0.747 0.253 0.000
12 Co 0.750 0.750 0.498
13 Au 0.500 0.500 0.500

***

No. 15
VASP calculation (GGA-PBE) on Ac6Co3Au after structural relaxation.

Output
N(E_F) = 12.1 states/eV/cell
Total magnetic moment = 0.00 μB/cell
E_tot = -5.091 eV per atom

a = 12.239 Å, b = 4.246 Å, c = 13.202 Å
α = 90.00°, β = 112.97°, γ = 90.00°
Fractional positions:
1 Ac 0.045 0.250 0.387
2 Ac 0.095 0.750 0.932
3 Ac 0.245 0.750 0.264
4 Ac 0.253 0.250 0.785
5 Ac 0.414 0.250 0.567
6 Ac 0.432 0.250 0.105
7 Ac 0.568 0.750 0.895
8 Ac 0.586 0.750 0.433
9 Ac 0.747 0.750 0.215
10 Ac 0.755 0.250 0.736
11 Ac 0.905 0.250 0.068
12 Ac 0.955 0.750 0.613
13 Co 0.006 0.250 0.774
14 Co 0.336 0.750 0.946
15 Co 0.409 0.250 0.339
16 Co 0.591 0.750 0.661
17 Co 0.664 0.250 0.054
18 Co 0.994 0.750 0.226
19 Au 0.206 0.750 0.576
20 Au 0.794 0.250 0.424

***

No. 16
VASP calculation (GGA-PBE) on Ac4Co2Au after structural relaxation.

Output
N(E_F) = 9.9 states/eV/cell
Total magnetic moment = 0.00 μB/cell
E_tot = -5.081 eV per atom

a = 7.294 Å, b = 7.294 Å, c = 14.386 Å
α = 90.00°, β = 90.00°, γ = 146.05°
Fractional positions:
1 Ac 0.000 0.000 0.000
2 Ac 0.000 0.000 0.500
3 Ac 0.269 0.731 0.611
4 Ac 0.269 0.731 0.889
5 Ac 0.442 0.558 0.250
6 Ac 0.558 0.442 0.750
7 Ac 0.731 0.269 0.111
8 Ac 0.731 0.269 0.389
9 Co 0.371 0.629 0.064
10 Co 0.371 0.629 0.436
11 Co 0.629 0.371 0.564
12 Co 0.629 0.371 0.936
13 Au 0.115 0.885 0.250
14 Au 0.885 0.115 0.750

***

No. 17
VASP calculation (GGA-PBE) on Ac14Co3Au6 after structural relaxation.

Output
N(E_F) = 28.6 states/eV/cell
Total magnetic moment = 0.00 μB/cell
E_tot = -4.683 eV per atom

a = 10.896 Å, b = 10.896 Å, c = 7.507 Å
α = 90.00°, β = 90.00°, γ = 120.00°
Fractional positions:
1 Ac 0.000 0.000 0.000
2 Ac 0.081 0.541 0.294
3 Ac 0.205 0.409 0.763
4 Ac 0.205 0.795 0.763
5 Ac 0.245 0.123 0.455
6 Ac 0.420 0.210 0.964
7 Ac 0.459 0.541 0.294
8 Ac 0.459 0.919 0.294
9 Ac 0.591 0.795 0.763
10 Ac 0.667 0.333 0.509
11 Ac 0.790 0.210 0.964
12 Ac 0.790 0.580 0.964
13 Ac 0.877 0.123 0.455
14 Ac 0.877 0.755 0.455
15 Co 0.000 0.000 0.654
16 Co 0.333 0.667 0.535
17 Co 0.667 0.333 0.163
18 Au 0.147 0.294 0.184
19 Au 0.147 0.853 0.184
20 Au 0.521 0.042 0.696
21 Au 0.521 0.479 0.696
22 Au 0.706 0.853 0.184
23 Au 0.958 0.479 0.696

***

No. 18
VASP calculation (GGA-PBE) on AcDyCoAu after structural relaxation.

Output
N(E_F) = 4.3 states/eV/cell
Total magnetic moment = 0.76 μB/cell
E_tot = -5.039 eV per atom

a = 5.173 Å, b = 5.173 Å, c = 5.173 Å
α = 60.00°, β = 60.00°, γ = 60.00°
Fractional positions:
1 Ac 0.000 0.000 0.000
2 Dy 0.500 0.500 0.500
3 Co 0.750 0.750 0.750
4 Au 0.250 0.250 0.250

***

Short version: energy of formation = -0.50; -0.03; -0.18; -0.35; -0.33; -0.26; -0.32; -0.27; -0.15; -0.48; -0.19; -0.41; 0.08; -0.12; -0.17; -0.24; -0.40; -0.27 eV per atom, in the order given.